Material: GdMgPd
Method: DFT, PBE
State: relaxed

Computed properties:
Spin magnetization in μB per formula unit: 0.000
ΔE to the lowest computed polymorph in eV/atom: 0.1733

The structure in CIF format:
```
data_GdMgPd
_chemical_formula_sum 'Gd3 Mg3 Pd3'
_space_group_name_H-M_alt 'P -6 2 m'
_space_group_IT_number 189
_space_group_name_Hall 'P -6 -2'
_cell_length_a 7.8583
_cell_length_b 7.8583
_cell_length_c 3.8337
_cell_angle_alpha 90.00
_cell_angle_beta 90.00
_cell_angle_gamma 120.00
loop_
_atom_site_label
_atom_site_type_symbol
_atom_site_fract_x
_atom_site_fract_y
_atom_site_fract_z
Gd1 Gd 0.0000 0.2700 0.0000
Mg1 Mg 0.0000 0.6080 0.5000
Pd1 Pd 0.0000 0.0000 0.5000
Pd2 Pd 0.3333 0.6667 0.0000
```


Material: Tb2GdMg3Pd2Pt
Method: DFT, PBE
State: relaxed

Computed properties:
Energy in eV per cell: -83.866
Spin magnetization in μB per formula unit: 0.016

The structure in CIF format:
```
data_Tb2GdMg3Pd2Pt
_chemical_formula_sum 'Tb4 Gd2 Mg6 Pd4 Pt2'
_space_group_name_H-M_alt 'A m m 2'
_space_group_IT_number 38
_cell_length_a 4.107
_cell_length_b 12.843
_cell_length_c 7.419
_cell_angle_alpha 90.00
_cell_angle_beta 90.00
_cell_angle_gamma 90.00
loop_
_space_group_symop_operation_xyz
'x,y,z'
'-x,-y,z'
'-x,y,z'
'x,-y,z'
'x,y+1/2,z+1/2'
'-x,-y+1/2,z+1/2'
'-x,y+1/2,z+1/2'
'x,-y+1/2,z+1/2'
loop_
_atom_site_label
_atom_site_type_symbol
_atom_site_fract_x
_atom_site_fract_y
_atom_site_fract_z
Tb1 Tb 0.000 0.204 0.000
Gd1 Gd 0.000 0.000 0.388
Mg1 Mg 0.500 0.000 0.039
Mg2 Mg 0.500 0.122 0.675
Pd1 Pd 0.500 0.167 0.296
Pt1 Pt 0.000 0.000 0.797
```


Material: Gd2TmMg3Pd2Pt
Method: DFT, PBE
State: relaxed

Computed properties:
Energy in eV per cell: -83.646
Spin magnetization in μB per formula unit: 0.012

The structure in CIF format:
```
data_Gd2TmMg3Pd2Pt
_chemical_formula_sum 'Gd4 Tm2 Mg6 Pd4 Pt2'
_space_group_name_H-M_alt 'A m m 2'
_space_group_IT_number 38
_cell_length_a 4.102
_cell_length_b 12.818
_cell_length_c 7.384
_cell_angle_alpha 90.00
_cell_angle_beta 90.00
_cell_angle_gamma 90.00
loop_
_space_group_symop_operation_xyz
'x,y,z'
'-x,-y,z'
'-x,y,z'
'x,-y,z'
'x,y+1/2,z+1/2'
'-x,-y+1/2,z+1/2'
'-x,y+1/2,z+1/2'
'x,-y+1/2,z+1/2'
loop_
_atom_site_label
_atom_site_type_symbol
_atom_site_fract_x
_atom_site_fract_y
_atom_site_fract_z
Gd1 Gd 0.000 0.205 0.000
Tm1 Tm 0.000 0.000 0.390
Mg1 Mg 0.500 0.000 0.041
Mg2 Mg 0.500 0.121 0.673
Pd1 Pd 0.500 0.164 0.297
Pt1 Pt 0.000 0.000 0.791
```


Material: GdY2Mg3Pd2Pt
Method: DFT, PBE
State: relaxed

Computed properties:
Energy in eV per cell: -91.282
Spin magnetization in μB per formula unit: 0.008

The structure in CIF format:
```
data_GdY2Mg3Pd2Pt
_chemical_formula_sum 'Gd2 Y4 Mg6 Pd4 Pt2'
_space_group_name_H-M_alt 'A m m 2'
_space_group_IT_number 38
_cell_length_a 4.120
_cell_length_b 12.813
_cell_length_c 7.436
_cell_angle_alpha 90.00
_cell_angle_beta 90.00
_cell_angle_gamma 90.00
loop_
_space_group_symop_operation_xyz
'x,y,z'
'-x,-y,z'
'-x,y,z'
'x,-y,z'
'x,y+1/2,z+1/2'
'-x,-y+1/2,z+1/2'
'-x,y+1/2,z+1/2'
'x,-y+1/2,z+1/2'
loop_
_atom_site_label
_atom_site_type_symbol
_atom_site_fract_x
_atom_site_fract_y
_atom_site_fract_z
Gd1 Gd 0.000 0.000 0.000
Y1 Y 0.000 0.204 0.612
Mg1 Mg 0.500 0.000 0.651
Mg2 Mg 0.500 0.122 0.287
Pd1 Pd 0.500 0.166 0.908
Pt1 Pt 0.000 0.000 0.408
```